# 1
DFT (PBE) results for a geometry-optimized PmH4Pd2 structure.

Structure (CIF):
```
data_PmH4Pd2
_cell_length_a 5.7513
_cell_length_b 5.7513
_cell_length_c 8.9829
_cell_angle_alpha 90.00
_cell_angle_beta 90.00
_cell_angle_gamma 90.00
_space_group_name_H-M_alt 'I 41/a'
_space_group_IT_number 88
loop_
_space_group_symop_operation_xyz
'x,y,z'
'-x,-y,-z'
'-y+3/4,x+1/4,z+1/4'
'y+3/4,-x+1/4,-z+1/4'
'-x+1/2,-y,z+1/2'
'x+1/2,y,-z+1/2'
'y+3/4,-x+3/4,z+3/4'
'-y+3/4,x+3/4,-z+3/4'
'x+1/2,y+1/2,z+1/2'
'-x+1/2,-y+1/2,-z+1/2'
'-y+1/4,x+3/4,z+3/4'
'y+1/4,-x+3/4,-z+3/4'
'-x,-y+1/2,z'
'x,y+1/2,-z'
'y+1/4,-x+1/4,z+1/4'
'-y+1/4,x+1/4,-z+1/4'
loop_
_atom_site_label
_atom_site_type_symbol
_atom_site_fract_x
_atom_site_fract_y
_atom_site_fract_z
Pm1 Pm 0.0000 0.2500 0.1250
H1 H 0.1549 0.4730 0.3272
Pd1 Pd 0.0000 0.0000 0.5000
```

Summary:
Energy above the most stable polymorph in this dataset   0 meV/atom
Final energy   -4.452 eV/atom
Crystal system   tetragonal

***

# 2
DFT (PBE) results for a geometry-optimized Pm2H9Pd3 structure.

Structure (CIF):
```
data_Pm2H9Pd3
_cell_length_a 7.8843
_cell_length_b 7.2778
_cell_length_c 11.0099
_cell_angle_alpha 90.00
_cell_angle_beta 105.53
_cell_angle_gamma 90.00
_space_group_name_H-M_alt 'C 1 2/c 1'
_space_group_IT_number 15
_space_group_name_Hall '-C 2yc'
loop_
_atom_site_label
_atom_site_type_symbol
_atom_site_fract_x
_atom_site_fract_y
_atom_site_fract_z
Pm1 Pm 0.2348 0.1247 0.2104
H1 H 0.0000 0.0770 0.7500
H2 H 0.0143 0.3537 0.8762
H3 H 0.0757 0.1117 0.4767
H4 H 0.1606 0.3488 0.3177
H5 H 0.2081 0.4288 0.1000
Pd1 Pd 0.0000 0.5000 0.0000
Pd2 Pd 0.0731 0.1148 0.9232
```

Summary:
Final energy   -4.254 eV/atom
Crystal system   monoclinic

***

# 3
DFT (PBE) results for a geometry-optimized PmH3Pd6 structure.

Structure (CIF):
```
data_PmH3Pd6
_cell_length_a 5.4973
_cell_length_b 5.6256
_cell_length_c 5.6265
_cell_angle_alpha 81.49
_cell_angle_beta 62.12
_cell_angle_gamma 61.59
_space_group_name_H-M_alt 'P 1'
_space_group_IT_number 1
_space_group_name_Hall 'P 1'
loop_
_atom_site_label
_atom_site_type_symbol
_atom_site_fract_x
_atom_site_fract_y
_atom_site_fract_z
Pm1 Pm 0.0000 0.0000 0.0000
H1 H 0.3135 0.2611 0.7096
H2 H 0.4921 0.6799 0.3186
H3 H 0.6691 0.3786 0.7897
Pd1 Pd 0.2426 0.5226 0.4856
Pd2 Pd 0.2861 0.0357 0.3931
Pd3 Pd 0.2885 0.4085 0.9987
Pd4 Pd 0.7091 0.6122 0.9622
Pd5 Pd 0.7138 0.0036 0.5812
Pd6 Pd 0.7527 0.5140 0.4707
```

Summary:
Final energy   -4.945 eV/atom
Crystal system   triclinic

***

Number 1: N(E_F) 0.20 states/eV/atom. Number 2: N(E_F) 0.12 states/eV/atom. Number 3: N(E_F) 0.19 states/eV/atom.